(1)
Entry from the Alexandria database: a relaxed LaScCo3 crystal (GGA-PBEsol).

```
5
Lattice="4.471 0.000 0.000 0.000 4.471 0.000 0.000 0.000 4.471" Properties=species:S:1:pos:R:3 pbc="T T T"
La 2.235 2.235 2.235
Co 2.235 0.000 0.000
Co 0.000 2.235 0.000
Co 0.000 0.000 2.235
Sc 0.000 0.000 0.000
```

DFT total energy: -6.4107 eV per atom
crystal system: cubic
energy of formation: 622 meV per atom


(2)
Entry from the Alexandria database: a relaxed La2ScCo crystal (GGA-PBEsol).

```
4
Lattice="3.480 0.000 0.000 0.000 5.439 0.000 -1.740 -2.720 5.249" Properties=species:S:1:pos:R:3 pbc="T T T"
La 1.740 0.000 2.671
La 1.740 2.720 4.600
Sc 1.740 2.720 0.719
Co 0.000 2.720 2.509
```

DFT total energy: -6.2505 eV per atom
relative energy among the computed polymorphs: 0 meV per atom
crystal system: orthorhombic
energy of formation: 8 meV per atom


(3)
Entry from the Alexandria database: a relaxed LaCoSe4 crystal (GGA-PBEsol).

```
6
Lattice="-1.093 -1.801 5.242 -2.991 -4.725 0.797 2.533 -4.647 1.976" Properties=species:S:1:pos:R:3 pbc="T T T"
Co -1.164 -8.380 6.011
Se -1.125 -5.096 5.608
Se -2.064 -6.542 3.410
Se 0.668 -6.503 3.994
Se -0.584 -4.205 3.016
La 0.000 0.000 0.000
```

formation energy without anion corrections: 11.6 kJ/mol of atoms
DFT total energy: -4.6271 eV per atom
crystal system: cubic


(4)
Entry from the Alexandria database: a relaxed LaCoSe3 crystal (GGA-PBEsol).

```
5
Lattice="-2.736 -3.795 -0.243 3.469 -2.613 1.758 -1.559 0.846 4.336" Properties=species:S:1:pos:R:3 pbc="T T T"
Se 1.734 -1.306 0.879
Se -0.780 0.423 2.168
Se -1.368 -1.898 -0.122
Co 0.000 0.000 0.000
La -0.413 -2.781 2.925
```

formation energy without anion corrections: -85.1 kJ/mol of atoms
DFT total energy: -5.8087 eV per atom
crystal system: cubic


(5)
Entry from the Alexandria database: a relaxed LaCo2Se crystal (GGA-PBEsol).

```
4
Lattice="-0.973 -0.827 -3.753 2.834 -0.378 -2.745 0.928 -5.214 -1.185" Properties=species:S:1:pos:R:3 pbc="T T T"
La 1.395 -3.210 -3.842
Co 0.652 -0.901 -2.064
Co 2.137 -5.518 -5.619
Se 0.000 0.000 0.000
```

formation energy without anion corrections: -39.1 kJ/mol of atoms
DFT total energy: -6.5728 eV per atom
crystal system: trigonal


(6)
Entry from the Alexandria database: a relaxed LaCo2Se crystal (GGA-PBEsol).

```
8
Lattice="-1.813 2.436 -3.310 -3.067 -3.210 -0.682 -2.200 3.753 7.015" Properties=species:S:1:pos:R:3 pbc="T T T"
Se -2.440 -0.387 -1.996
Se -3.226 2.901 0.854
Co -4.102 2.957 2.899
Co -4.267 -0.482 -0.730
Co -2.933 1.391 -0.753
Co -2.858 2.092 4.629
La -3.854 0.078 2.168
La 0.000 0.000 0.000
```

formation energy without anion corrections: -35.3 kJ/mol of atoms
DFT total energy: -6.5334 eV per atom
crystal system: tetragonal


(7)
Entry from the Alexandria database: a relaxed LaCo2Se crystal (GGA-PBEsol).

```
4
Lattice="-4.451 0.871 -1.037 -3.398 -1.982 2.484 -2.594 2.585 2.870" Properties=species:S:1:pos:R:3 pbc="T T T"
Co 0.000 0.000 0.000
Co -7.833 1.106 3.238
Se -2.611 0.369 1.079
La -5.222 0.737 2.159
```

formation energy without anion corrections: 13.8 kJ/mol of atoms
DFT total energy: -6.0249 eV per atom
crystal system: cubic


(8)
Entry from the Alexandria database: a relaxed LaCo2Si crystal (GGA-PBEsol).

```
4
Lattice="3.213 0.000 0.000 0.000 4.333 0.000 0.000 0.000 4.333" Properties=species:S:1:pos:R:3 pbc="T T T"
Si 1.606 0.000 0.000
Co 0.000 2.166 0.000
Co 0.000 0.000 2.166
La 1.606 2.166 2.166
```

formation energy without anion corrections: 2.0 kJ/mol of atoms
DFT total energy: -6.6209 eV per atom
crystal system: tetragonal


(9)
Entry from the Alexandria database: a relaxed La2CoSi crystal (GGA-PBEsol).

```
4
Lattice="4.474 0.000 0.000 0.000 4.085 0.000 -2.237 0.000 4.962" Properties=species:S:1:pos:R:3 pbc="T T T"
Co 2.237 2.042 1.939
La 0.000 2.042 4.072
La 0.000 0.000 1.078
Si 2.237 0.000 3.019
```

formation energy without anion corrections: -41.7 kJ/mol of atoms
DFT total energy: -6.4759 eV per atom
crystal system: orthorhombic


(10)
Entry from the Alexandria database: a relaxed La2CoSi crystal (GGA-PBEsol).

```
8
Lattice="5.893 0.000 0.000 2.947 5.490 0.000 2.947 0.000 5.490" Properties=species:S:1:pos:R:3 pbc="T T T"
La 2.210 0.316 3.061
La 6.630 2.429 0.316
La 8.103 5.174 2.429
La 6.630 3.061 5.174
Si 4.420 2.745 2.745
Si 2.947 0.000 0.000
Co 7.367 2.745 2.745
Co 0.000 0.000 0.000
```

formation energy without anion corrections: -4.6 kJ/mol of atoms
DFT total energy: -6.0920 eV per atom
crystal system: tetragonal


(11)
Entry from the Alexandria database: a relaxed La2CoSi crystal (GGA-PBEsol).

```
4
Lattice="4.043 0.000 0.000 2.022 3.501 0.000 2.022 1.167 7.528" Properties=species:S:1:pos:R:3 pbc="T T T"
La 6.065 3.501 4.683
La 6.065 3.501 0.963
Co 2.022 1.167 2.837
Si 4.043 2.334 2.809
```

formation energy without anion corrections: -46.4 kJ/mol of atoms
DFT total energy: -6.5254 eV per atom
crystal system: trigonal


(12)
Entry from the Alexandria database: a relaxed LaCo8Si5 crystal (GGA-PBEsol).

```
28
Lattice="7.702 0.000 0.000 -3.851 6.856 0.014 0.000 4.314 6.381" Properties=species:S:1:pos:R:3 pbc="T T T"
Si 3.851 0.000 0.000
Si 1.420 6.490 1.975
Si 2.431 8.647 5.166
Si 6.282 4.113 3.583
Si 1.420 2.522 1.230
Si 0.000 2.157 3.191
Si 5.271 1.956 0.392
Si -1.420 9.213 6.004
Si -2.431 7.057 2.813
Si 2.431 4.679 4.420
Co 4.744 7.831 5.082
Co 5.480 1.916 2.834
Co 3.421 1.244 1.841
Co 4.744 5.495 4.504
Co 2.958 6.496 5.984
Co 4.282 3.069 4.540
Co -0.893 3.339 1.314
Co 6.073 4.073 6.025
Co -0.893 5.674 1.891
Co 7.272 0.912 1.350
Co 0.430 3.401 5.032
Co 2.222 2.398 3.547
Co 1.629 0.241 0.357
Co 0.893 4.339 2.793
Co 0.893 4.673 0.411
Co 2.958 6.830 3.602
La 0.000 6.663 4.793
La 3.851 4.506 1.602
```

formation energy without anion corrections: -57.1 kJ/mol of atoms
DFT total energy: -7.4476 eV per atom
crystal system: tetragonal


(13)
Entry from the Alexandria database: a relaxed LaCoSi2 crystal (GGA-PBEsol).

```
4
Lattice="3.892 -0.001 -0.011 1.945 3.371 -0.011 1.964 1.134 5.325" Properties=species:S:1:pos:R:3 pbc="T T T"
Co 3.900 2.252 2.652
La 0.000 0.000 0.000
Si 5.848 3.376 3.235
Si 1.953 1.127 2.069
```

formation energy without anion corrections: -78.5 kJ/mol of atoms
DFT total energy: -6.9583 eV per atom
crystal system: trigonal


(14)
Entry from the Alexandria database: a relaxed LaCo2Si crystal (GGA-PBEsol).

```
4
Lattice="-3.416 1.436 1.439 -0.670 -0.019 3.918 0.657 4.909 2.152" Properties=species:S:1:pos:R:3 pbc="T T T"
Co -0.506 2.353 1.941
Co -2.922 3.973 5.567
Si -1.714 3.163 3.754
La 0.000 0.000 0.000
```

formation energy without anion corrections: -49.4 kJ/mol of atoms
DFT total energy: -7.1541 eV per atom
crystal system: trigonal


(15)
Entry from the Alexandria database: a relaxed LaCo9Si4 crystal (GGA-PBEsol).

```
28
Lattice="7.670 0.000 0.000 -3.835 6.832 0.017 0.000 4.290 6.358" Properties=species:S:1:pos:R:3 pbc="T T T"
Si 2.528 1.857 0.323
Si 5.141 4.685 4.515
Si -2.528 8.581 5.039
Si 6.363 2.541 1.336
Si 2.528 7.119 2.873
Si 1.306 9.264 6.052
Si -1.306 6.436 1.860
Si 1.306 4.002 3.502
Co 0.976 3.282 1.235
Co 2.859 5.427 4.414
Co -0.976 4.373 2.852
Co 7.130 3.426 5.077
Co -0.976 4.603 0.343
Co 3.835 0.000 0.000
Co 1.545 3.988 5.911
Co 2.290 1.843 2.732
Co 0.540 0.864 1.281
Co 2.859 7.839 5.140
Co 4.810 6.748 3.522
Co 3.295 3.009 4.459
Co 5.380 2.447 3.626
Co 0.976 5.695 1.961
Co 6.125 0.302 0.447
Co 4.810 6.518 6.031
Co 4.374 1.281 1.898
Co 0.000 2.145 3.179
La 3.835 4.488 1.598
La 0.000 6.633 4.777
```

formation energy without anion corrections: -52.8 kJ/mol of atoms
DFT total energy: -7.5444 eV per atom
crystal system: tetragonal


(16)
Entry from the Alexandria database: a relaxed La3Co2Sn7 crystal (GGA-PBEsol).

```
12
Lattice="-0.675 3.576 -2.745 -3.038 1.690 2.949 10.338 5.014 7.778" Properties=species:S:1:pos:R:3 pbc="T T T"
Co 5.930 5.912 6.245
Co 0.696 4.369 1.737
Sn 1.469 3.017 -0.215
Sn 4.132 4.689 5.094
Sn 6.336 8.206 5.349
Sn 0.289 2.075 2.633
Sn 2.493 5.592 2.888
Sn 0.000 0.000 0.000
Sn 8.194 5.574 5.248
La 5.978 6.084 2.673
La 3.685 2.507 2.360
La -1.856 2.633 0.102
```

DFT total energy: -5.7337 eV per atom
crystal system: orthorhombic
energy of formation: -623 meV per atom


(17)
Entry from the Alexandria database: a relaxed La3Co4Sn13 crystal (GGA-PBEsol).

```
40
Lattice="-2.682 8.519 -3.322 -8.193 -3.776 -3.070 -4.061 1.992 8.387" Properties=species:S:1:pos:R:3 pbc="T T T"
Sn -6.019 0.485 0.677
Sn -5.891 0.540 6.139
Sn -5.420 5.849 1.399
Sn -3.484 7.777 -0.270
Sn -7.636 5.622 -1.327
Sn -7.535 2.171 -2.016
Sn -7.468 3.368 0.997
Sn -8.917 6.250 1.317
Sn -3.259 2.735 5.334
Sn -4.575 3.163 2.447
Sn -7.299 1.113 3.321
Sn -3.111 -0.825 0.396
Sn -4.952 3.362 -1.048
Sn -2.100 1.974 -1.486
Sn -7.401 4.564 4.010
Sn -3.165 5.355 -2.805
Sn 0.000 0.000 0.000
Sn -9.515 0.886 0.595
Sn -8.774 2.769 -4.907
Sn -1.647 1.944 2.005
Sn -5.096 8.568 3.059
Sn -7.710 -0.612 -3.588
Sn -9.984 3.373 3.042
Sn -10.361 3.572 -0.452
Sn -6.362 -2.324 -0.822
Sn -9.143 -0.959 4.921
La -6.108 4.501 -4.027
La -8.175 -1.836 1.891
La -4.767 0.242 -2.366
La -4.079 0.052 3.426
La -4.387 5.754 4.629
La -2.356 4.758 0.436
Co -7.830 -0.204 -1.036
Co -9.171 4.055 -2.698
Co -5.075 5.943 -1.163
Co -7.105 6.939 3.031
Co -11.202 5.051 1.496
Co -5.765 2.680 4.692
Co -3.734 1.684 0.499
Co -9.861 0.792 3.157
```

DFT total energy: -5.5757 eV per atom
crystal system: cubic
energy of formation: -458 meV per atom


(18)
Entry from the Alexandria database: a relaxed SrLa2Co crystal (GGA-PBEsol).

```
4
Lattice="4.025 0.000 0.000 2.013 3.486 0.000 2.013 1.162 9.832" Properties=species:S:1:pos:R:3 pbc="T T T"
La 6.038 3.486 8.398
La 2.013 1.162 1.434
Co 0.000 0.000 0.000
Sr 4.025 2.324 4.916
```

DFT total energy: -5.0986 eV per atom
relative energy among the computed polymorphs: 0 meV per atom
crystal system: trigonal
energy of formation: -31 meV per atom


(19)
Entry from the Alexandria database: a relaxed SrLaCo crystal (GGA-PBEsol).

```
3
Lattice="-0.505 3.317 1.004 -1.852 -1.116 2.755 6.869 -1.361 1.840" Properties=species:S:1:pos:R:3 pbc="T T T"
La 0.121 1.041 2.730
Sr 4.193 -0.192 2.741
Co 0.198 -0.009 0.129
```

DFT total energy: -4.8157 eV per atom
crystal system: tetragonal
energy of formation: 159 meV per atom


(20)
Entry from the Alexandria database: a relaxed SrLa2Co crystal (GGA-PBEsol).

```
4
Lattice="5.301 0.000 0.000 2.650 4.591 0.000 2.650 1.530 4.328" Properties=species:S:1:pos:R:3 pbc="T T T"
La 0.000 0.000 0.000
La 7.951 4.591 3.246
Sr 2.650 1.530 1.082
Co 5.301 3.060 2.164
```

DFT total energy: -4.5223 eV per atom
relative energy among the computed polymorphs: 576 meV per atom
crystal system: cubic
energy of formation: 545 meV per atom


Number 1: total magnetic moment 0.8 Bohr magnetons per cell. Number 2: total magnetic moment 0.0 Bohr magnetons per cell. Number 3: total magnetic moment 2.3 Bohr magnetons per cell. Number 4: total magnetic moment 0.8 Bohr magnetons per cell. Number 5: total magnetic moment 0.0 Bohr magnetons per cell. Number 6: total magnetic moment 0.5 Bohr magnetons per cell. Number 7: total magnetic moment 3.0 Bohr magnetons per cell. Number 8: total magnetic moment 0.8 Bohr magnetons per cell. Number 9: total magnetic moment 0.0 Bohr magnetons per cell. Number 10: total magnetic moment 0.0 Bohr magnetons per cell. Number 11: total magnetic moment 0.0 Bohr magnetons per cell. Number 12: total magnetic moment 0.0 Bohr magnetons per cell. Number 13: total magnetic moment 0.0 Bohr magnetons per cell. Number 14: total magnetic moment 0.0 Bohr magnetons per cell. Number 15: total magnetic moment 6.0 Bohr magnetons per cell. Number 16: total magnetic moment 0.0 Bohr magnetons per cell. Number 17: total magnetic moment 0.0 Bohr magnetons per cell. Number 18: total magnetic moment 0.0 Bohr magnetons per cell. Number 19: total magnetic moment 0.0 Bohr magnetons per cell. Number 20: total magnetic moment 0.5 Bohr magnetons per cell.